A plane-wave DFT calculation with PBE was carried out for crystalline NpGe2 at its relaxed geometry.

a = 4.0664 Å, b = 4.0664 Å, c = 4.9634 Å
α = 114.06°, β = 114.06°, γ = 89.97°
Sites, in units of the cell vectors:
Np (0.0000, 0.0000, 0.0000)
Ge (0.3517, 0.3517, 0.7035)
Ge (0.6483, 0.6483, 0.2965)

Values from the calculation:
ΔH_f (0 K) ... 0.104 eV/atom
SG ... C2/m (12)
DOS at the Fermi energy ... 9.718 states/eV/f.u.

A plane-wave DFT calculation with PBE was carried out for crystalline Dy4Zn2Hg at its relaxed geometry.

a = 9.5610 Å, b = 9.5610 Å, c = 9.5610 Å
α = 29.88°, β = 29.88°, γ = 29.88°
Sites, in units of the cell vectors:
Dy (0.1188, 0.1188, 0.1188)
Dy (0.2971, 0.2971, 0.2971)
Dy (0.7029, 0.7029, 0.7029)
Dy (0.8812, 0.8812, 0.8812)
Zn (0.4027, 0.4027, 0.4027)
Zn (0.5973, 0.5973, 0.5973)
Hg (0.5000, 0.5000, 0.5000)

Values from the calculation:
Relative energy among the computed polymorphs ... 12.39 kJ/mol of atoms
ΔH_f (0 K) ... -0.094 eV/atom
SG ... R-3m (166)
DOS at the Fermi energy ... 10.928 states/eV/f.u.

A plane-wave DFT calculation with PBE was carried out for crystalline CeNd2Te at its relaxed geometry.

a = 4.9424 Å, b = 4.9424 Å, c = 4.6942 Å
α = 90.00°, β = 90.00°, γ = 90.00°
Sites, in units of the cell vectors:
Ce (0.0000, 0.0000, 0.0000)
Nd (0.0000, 0.5000, 0.5000)
Nd (0.5000, 0.0000, 0.5000)
Te (0.5000, 0.5000, 0.0000)

Values from the calculation:
Relative energy among the computed polymorphs ... 1.62 kJ/mol of atoms
Raw formation energy ... -523.4 meV per atom
SG ... P4/mmm (123)
DOS at the Fermi energy ... 7.248 states/eV/f.u.

A plane-wave DFT calculation with PBE was carried out for crystalline P8Au at its relaxed geometry.

a = 6.6580 Å, b = 6.6580 Å, c = 6.6580 Å
α = 95.54°, β = 95.54°, γ = 143.80°
Sites, in units of the cell vectors:
P (0.0000, 0.3743, 0.3743)
P (0.0000, 0.6257, 0.6257)
P (0.1995, 0.1995, 0.3989)
P (0.1995, 0.8005, 0.0000)
P (0.3743, 0.0000, 0.3743)
P (0.6257, 0.0000, 0.6257)
P (0.8005, 0.1995, 0.0000)
P (0.8005, 0.8005, 0.6011)
Au (0.0000, 0.0000, 0.0000)

Values from the calculation:
ΔH_f (0 K) ... 0.379 eV/atom
SG ... I4/mmm (139)
DOS at the Fermi energy ... 3.675 states/eV/f.u.

A plane-wave DFT calculation with PBE was carried out for crystalline Pu4TcRh3 at its relaxed geometry.

a = 3.3929 Å, b = 4.8351 Å, c = 9.6189 Å
α = 90.00°, β = 90.00°, γ = 90.00°
Sites, in units of the cell vectors:
Pu (0.0000, 0.0000, 0.0000)
Pu (0.0000, 0.0000, 0.5000)
Pu (0.0000, 0.5000, 0.2480)
Pu (0.0000, 0.5000, 0.7520)
Tc (0.5000, 0.5000, 0.0000)
Rh (0.5000, 0.0000, 0.2472)
Rh (0.5000, 0.0000, 0.7528)
Rh (0.5000, 0.5000, 0.5000)

Values from the calculation:
ΔH_f (0 K) ... -0.258 eV/atom
SG ... Pmmm (47)
DOS at the Fermi energy ... 28.709 states/eV/f.u.

A plane-wave DFT calculation with PBE was carried out for crystalline Rb2Ce2Se2S at its relaxed geometry.

a = 9.4565 Å, b = 9.4565 Å, c = 9.4565 Å
α = 147.04°, β = 147.04°, γ = 47.30°
Sites, in units of the cell vectors:
Rb (0.1909, 0.1909, 0.0000)
Rb (0.8091, 0.8091, 0.0000)
Ce (0.0000, 0.5000, 0.5000)
Ce (0.5000, 0.0000, 0.5000)
Se (0.3938, 0.3938, 0.0000)
Se (0.6062, 0.6062, 0.0000)
S (0.0000, 0.0000, 0.0000)

Values from the calculation:
Raw formation energy ... -1271.2 meV per atom
SG ... I4/mmm (139)
DOS at the Fermi energy ... 16.575 states/eV/f.u.

A plane-wave DFT calculation with PBE was carried out for crystalline LiPa2TaO8 at its relaxed geometry.

a = 4.8522 Å, b = 4.8522 Å, c = 7.0995 Å
α = 90.00°, β = 90.00°, γ = 91.55°
Sites, in units of the cell vectors:
Li (0.0000, 0.0000, 0.0000)
Pa (0.5000, 0.5000, 0.2448)
Pa (0.5000, 0.5000, 0.7552)
Ta (0.0000, 0.0000, 0.5000)
O (0.1942, 0.8058, 0.2913)
O (0.1942, 0.8058, 0.7087)
O (0.2977, 0.2977, 0.5000)
O (0.3096, 0.3096, 0.0000)
O (0.6904, 0.6904, 0.0000)
O (0.7023, 0.7023, 0.5000)
O (0.8058, 0.1942, 0.2913)
O (0.8058, 0.1942, 0.7087)

Values from the calculation:
Raw formation energy ... -3156.7 meV per atom
SG ... Cmmm (65)
DOS at the Fermi energy ... 0.000 states/eV/f.u.

A plane-wave DFT calculation with PBE was carried out for crystalline AlGa2PbO6 at its relaxed geometry.

a = 7.5748 Å, b = 7.5748 Å, c = 6.0600 Å
α = 112.41°, β = 112.41°, γ = 79.77°
Sites, in units of the cell vectors:
Al (0.1777, 0.8223, 0.7500)
Al (0.8223, 0.1777, 0.2500)
Ga (0.2023, 0.3558, 0.7404)
Ga (0.3558, 0.2023, 0.2404)
Ga (0.6442, 0.7977, 0.7596)
Ga (0.7977, 0.6442, 0.2596)
Pb (0.2676, 0.7324, 0.2500)
Pb (0.7324, 0.2676, 0.7500)
O (0.0132, 0.7882, 0.4340)
O (0.1499, 0.6175, 0.8059)
O (0.2118, 0.9868, 0.0660)
O (0.2792, 0.3861, 0.0870)
O (0.3825, 0.8501, 0.6941)
O (0.3861, 0.2792, 0.5870)
O (0.6139, 0.7208, 0.4130)
O (0.6175, 0.1499, 0.3059)
O (0.7208, 0.6139, 0.9130)
O (0.7882, 0.0132, 0.9340)
O (0.8501, 0.3825, 0.1941)
O (0.9868, 0.2118, 0.5660)

Values from the calculation:
Raw formation energy ... -1812.5 meV per atom
SG ... C2/c (15)
DOS at the Fermi energy ... 4.017 states/eV/f.u.

A plane-wave DFT calculation with PBE was carried out for crystalline BeCrIn2 at its relaxed geometry.

a = 5.4498 Å, b = 5.4498 Å, c = 4.5019 Å
α = 109.57°, β = 109.57°, γ = 33.49°
Sites, in units of the cell vectors:
Be (0.0000, 0.0000, 0.0000)
Cr (0.6802, 0.6802, 0.2091)
In (0.2166, 0.2166, 0.7403)
In (0.4352, 0.4352, 0.4244)

Values from the calculation:
ΔH_f (0 K) ... 0.435 eV/atom
SG ... Cm (8)
DOS at the Fermi energy ... 1.988 states/eV/f.u.

A plane-wave DFT calculation with PBE was carried out for crystalline Tb2Pr5YEr at its relaxed geometry.

a = 10.7540 Å, b = 10.7540 Å, c = 10.7134 Å
α = 90.00°, β = 90.00°, γ = 149.40°
Sites, in units of the cell vectors:
Tb (0.1139, 0.8861, 0.5000)
Tb (0.1146, 0.8854, 0.9348)
Tb (0.8854, 0.1146, 0.4348)
Tb (0.8861, 0.1139, 0.0000)
Pr (0.0139, 0.9861, 0.2246)
Pr (0.2778, 0.7222, 0.9250)
Pr (0.2949, 0.7051, 0.5313)
Pr (0.3819, 0.6181, 0.2188)
Pr (0.4853, 0.5147, 0.4927)
Pr (0.5147, 0.4853, 0.9927)
Pr (0.6181, 0.3819, 0.7188)
Pr (0.7051, 0.2949, 0.0313)
Pr (0.7222, 0.2778, 0.4250)
Pr (0.9861, 0.0139, 0.7246)
Y (0.4048, 0.5952, 0.7713)
Y (0.5952, 0.4048, 0.2713)
Er (0.1990, 0.8010, 0.2283)
Er (0.8010, 0.1990, 0.7283)

Values from the calculation:
ΔH_f (0 K) ... 0.141 eV/atom
SG ... Cmc2_1 (36)
DOS at the Fermi energy ... 14.471 states/eV/f.u.

A plane-wave DFT calculation with PBE was carried out for crystalline Cs5Hg5Pd2 at its relaxed geometry.

a = 7.0249 Å, b = 7.0249 Å, c = 15.9608 Å
α = 90.27°, β = 90.27°, γ = 43.53°
Sites, in units of the cell vectors:
Cs (0.0000, 0.0000, 0.0000)
Cs (0.1661, 0.1661, 0.6019)
Cs (0.2760, 0.2760, 0.8479)
Cs (0.7240, 0.7240, 0.1521)
Cs (0.8339, 0.8339, 0.3981)
Hg (0.0975, 0.0975, 0.2964)
Hg (0.4399, 0.4399, 0.1899)
Hg (0.5000, 0.5000, 0.5000)
Hg (0.5601, 0.5601, 0.8101)
Hg (0.9025, 0.9025, 0.7036)
Pd (0.4459, 0.4459, 0.6643)
Pd (0.5541, 0.5541, 0.3357)

Values from the calculation:
Relative energy among the computed polymorphs ... 0.86 kJ/mol of atoms
ΔH_f (0 K) ... -0.188 eV/atom
SG ... C2/m (12)
DOS at the Fermi energy ... 4.829 states/eV/f.u.

A plane-wave DFT calculation with PBE was carried out for crystalline Fe2TcTe at its relaxed geometry.

a = 3.0083 Å, b = 3.7964 Å, c = 5.2997 Å
α = 90.00°, β = 90.00°, γ = 90.00°
Sites, in units of the cell vectors:
Fe (0.0000, 0.0000, 0.2196)
Fe (0.0000, 0.0000, 0.7804)
Tc (0.5000, 0.5000, 0.0000)
Te (0.5000, 0.5000, 0.5000)

Values from the calculation:
Raw formation energy ... 438.3 meV per atom
SG ... Pmmm (47)
DOS at the Fermi energy ... 5.316 states/eV/f.u.